[1]
TePd2Se after structural relaxation. Source: Alexandria via LeMat-Bulk, functional PBE.

Cell lengths 4.2970, 4.2978, 6.7354 Å; angles 100.15, 93.10, 129.64 degrees
Fractional positions:
Te 0.3381 0.7079 0.1950
Pd 0.5625 0.2895 0.0005
Pd 0.5088 0.9416 0.5976
Se 0.8679 0.7105 0.7257

**Formation energy without anion corrections**: -0.24 eV/atom
**Excess energy over the best structure of this formula in the dataset**: 0.00 eV/f.u.
**Spin magnetization**: 0.00 Bohr magnetons per cell
**Space group**: Cm, No. 8

***

[2]
Cd2TcAg after structural relaxation. Source: Alexandria via LeMat-Bulk, functional PBE.

Cell lengths 3.8735, 4.3250, 4.3250 Å; angles 90.00, 90.00, 90.00 degrees
Fractional positions:
Ag 0.5000 0.0000 0.5000
Cd 0.0000 0.0000 0.0000
Cd 0.0000 0.5000 0.5000
Tc 0.5000 0.5000 0.0000

**Formation energy from the elements**: 0.35 eV per atom
**Excess energy over the best structure of this formula in the dataset**: 0.35 eV/f.u.
**Spin magnetization**: 0.56 Bohr magnetons per cell
**Space group**: P4/mmm, No. 123